[1]
A geometry-optimized BaSrEr structure. Source: Alexandria, functional GGA-PBE.

abc: 4.025 4.025 19.753
angles: 84.23 84.23 59.96
Fractional coordinates of all 6 atoms:
Sr 0.638 0.638 0.373
Sr 0.115 0.115 0.934
Er 0.731 0.731 0.089
Er 0.022 0.022 0.218
Ba 0.245 0.245 0.560
Ba 0.509 0.509 0.748

Results
As for the formation energy: 0.17 eV per atom. Its electronic total energy is -2.557 eV per atom. The symmetry is No. 8.


[2]
A geometry-optimized BaSr2Er structure. Source: Alexandria, functional GGA-PBE.

abc: 4.307 4.307 10.419
angles: 90.00 90.00 90.00
Fractional coordinates of all 4 atoms:
Ba 0.500 0.500 0.500
Sr 0.000 0.000 0.209
Sr 0.000 0.000 0.791
Er 0.500 0.500 0.000

Results
As for the formation energy: 0.17 eV per atom. Its electronic total energy is -2.296 eV per atom. The symmetry is No. 123.


[3]
A geometry-optimized BaSr2Er structure. Source: Alexandria, functional GGA-PBE.

abc: 3.919 3.919 14.487
angles: 82.23 82.23 60.00
Fractional coordinates of all 4 atoms:
Er 0.000 0.000 0.000
Sr 0.918 0.918 0.247
Sr 0.082 0.082 0.753
Ba 0.500 0.500 0.500

Results
As for the formation energy: 0.37 eV per atom. Its electronic total energy is -2.092 eV per atom. The symmetry is No. 166.


[4]
A geometry-optimized Ba2SrEr structure. Source: Alexandria, functional GGA-PBE.

abc: 4.422 4.422 10.326
angles: 90.00 90.00 90.00
Fractional coordinates of all 4 atoms:
Er 0.500 0.500 0.000
Ba 0.000 0.000 0.215
Ba 0.000 0.000 0.785
Sr 0.500 0.500 0.500

Results
As for the formation energy: 0.18 eV per atom. Its electronic total energy is -2.346 eV per atom. The symmetry is No. 123.


[5]
A geometry-optimized Ba3TbEr3Te8 structure. Source: Alexandria, functional GGA-PBE.

abc: 8.954 8.950 9.500
angles: 118.08 90.01 120.00
Fractional coordinates of all 15 atoms:
Te 0.269 0.027 0.285
Te 0.242 0.484 0.715
Te 0.731 0.973 0.715
Te 0.242 0.973 0.715
Te 0.758 0.516 0.285
Te 0.262 0.524 0.287
Te 0.758 0.027 0.285
Te 0.738 0.476 0.713
Ba 0.500 0.500 0.000
Ba 0.000 0.500 0.000
Ba 0.000 0.000 0.000
Tb 0.000 0.000 0.500
Er 0.000 0.500 0.500
Er 0.500 0.500 0.500
Er 0.500 0.000 0.500

Results
The value obtained for the formation energy (no corrections) is -146.24 kJ per mole of atoms. Its electronic total energy is -4.797 eV per atom. The symmetry is No. 166.


[6]
A geometry-optimized BaEr3Tc structure. Source: Alexandria, functional GGA-PBE.

abc: 5.505 5.505 5.505
angles: 90.00 90.00 90.00
Fractional coordinates of all 5 atoms:
Er 0.000 0.500 0.000
Er 0.500 0.000 0.000
Er 0.000 0.000 0.500
Ba 0.500 0.500 0.500
Tc 0.000 0.000 0.000

Results
As for the formation energy: 0.06 eV per atom. Its electronic total energy is -5.131 eV per atom. The symmetry is No. 221.


[7]
A geometry-optimized BaEr2Tc structure. Source: Alexandria, functional GGA-PBE.

abc: 3.570 3.570 11.362
angles: 80.96 80.96 60.00
Fractional coordinates of all 4 atoms:
Tc 0.500 0.500 0.500
Er 0.110 0.110 0.671
Er 0.890 0.890 0.329
Ba 0.000 0.000 0.000

Results
As for the formation energy: 0.29 eV per atom. Its electronic total energy is -5.061 eV per atom. The symmetry is No. 166.


[8]
A geometry-optimized BaEr4Te6 structure. Source: Alexandria, functional GGA-PBE.

abc: 4.421 7.491 22.663
angles: 90.00 90.00 107.16
Fractional coordinates of all 22 atoms:
Te 0.234 0.468 0.587
Te 0.659 0.318 0.750
Te 0.766 0.532 0.087
Te 0.234 0.468 0.913
Te 0.766 0.532 0.413
Te 0.043 0.085 0.345
Te 0.957 0.915 0.845
Te 0.043 0.085 0.155
Te 0.341 0.682 0.250
Te 0.500 0.000 0.000
Te 0.957 0.915 0.655
Te 0.500 0.000 0.500
Ba 0.342 0.684 0.750
Ba 0.658 0.316 0.250
Er 0.140 0.281 0.464
Er 0.594 0.188 0.876
Er 0.594 0.188 0.624
Er 0.406 0.812 0.376
Er 0.140 0.281 0.036
Er 0.406 0.812 0.124
Er 0.860 0.719 0.536
Er 0.860 0.719 0.964

Results
The value obtained for the formation energy (no corrections) is -135.63 kJ per mole of atoms. Its electronic total energy is -4.953 eV per atom. The symmetry is No. 63.